Nd6Tm3Th2 | GGA-PBE | relaxed

abc: 6.204 6.208 11.689
angles: 84.87 79.69 60.02
Fractional positions:
Tm: 0.334 0.332 0.000
Tm: 0.666 0.668 0.000
Tm: 0.000 0.000 0.000
Th: 0.167 0.667 0.500
Th: 0.833 0.333 0.500
Nd: 0.915 0.667 0.252
Nd: 0.250 0.000 0.252
Nd: 0.750 0.000 0.748
Nd: 0.417 0.667 0.748
Nd: 0.583 0.333 0.252
Nd: 0.085 0.333 0.748

DFT formation energy   0.219 eV per atom
D(E_F)   16.3 states/eV/f.u.
Energy   -54.5 eV/f.u.